DFT (PBEsol) results for an optimized crystal structure of Li2YZn.

The structure in POSCAR format:
```
Li2YZn
1.0
4.787 0.000 0.000
-2.393 4.155 0.147
0.000 2.615 4.009
Li Y Zn
2 1 1
direct
0.000 0.000 0.000
0.250 0.500 0.250
0.500 0.000 0.500
0.750 0.500 0.750
```

Summary:
As for the total moment: 0.04 μB/f.u. Its space-group type is No. 119. The calculation puts the volume at 77.9 Å³/cell. The formation energy from the elements comes out at -0.0421 eV per atom. As for the total energy: -12.506 eV/cell.